# La2ZrSc, optimized geometry, DFT PBE
# Total magnetic moment: 0.000 μB/f.u.
# Formation enthalpy at 0 K: 0.15 eV per atom
# Fermi-level density of states: 13.18 states/eV/cell
# Excess energy over the best structure of this formula in the dataset: 0.057 eV/atom
data_La2ZrSc
_chemical_formula_sum 'La4 Zr2 Sc2'
_symmetry_space_group_name_H-M 'I m m 2'
_symmetry_Int_Tables_number 44
_cell_length_a 4.846
_cell_length_b 4.872
_cell_length_c 9.866
_cell_angle_alpha 90.00
_cell_angle_beta 90.00
_cell_angle_gamma 90.00
loop_
_symmetry_equiv_pos_as_xyz
'x,y,z'
'-x,-y,z'
'-x,y,z'
'x,-y,z'
'x+1/2,y+1/2,z+1/2'
'-x+1/2,-y+1/2,z+1/2'
'-x+1/2,y+1/2,z+1/2'
'x+1/2,-y+1/2,z+1/2'
loop_
_atom_site_label
_atom_site_fract_x
_atom_site_fract_y
_atom_site_fract_z
_atom_site_occupancy
La1 0.000 0.000 0.000 1
La2 0.000 0.500 0.250 1
Zr1 0.000 0.000 0.499 1
Sc1 0.000 0.500 0.750 1